Entry 1:
Here is crystalline Sb4OsPt at its relaxed geometry from the Alexandria database. Energies are from PBE.

The structure belongs to space group F-43m (No. 216); the cell edges are 8.319, 8.319 and 8.319 Å and the angles 90.00°, 90.00° and 90.00°. The asymmetric unit holds Sb at (0.125, 0.125, 0.125), Os at (0.250, 0.250, 0.750) and Pt at (0.000, 0.000, 0.500).

The value obtained for the total energy is -103.438 eV per cell. The calculation puts the energy relative to the elements, uncorrected at 1.32 eV/atom. The calculation puts the size of the total moment at 0.01 μB/f.u.

---

Entry 2:
Here is crystalline Sb4OsPt at its relaxed geometry from the Alexandria database. Energies are from PBE.

The structure belongs to space group P2_1/c (No. 14); the cell edges are 6.496, 6.551 and 6.562 Å and the angles 90.00°, 92.57° and 90.00°. The asymmetric unit holds Sb at (0.113, 0.134, 0.140), Sb at (0.370, 0.628, 0.118), Os at (0.000, 0.000, 0.500) and Pt at (0.500, 0.000, 0.000).

The value obtained for the total energy is -69.115 eV per cell. The calculation puts the energy relative to the elements, uncorrected at -0.13 eV/atom. The calculation puts the size of the total moment at 0.00 μB/f.u.

---

Entry 3:
Here is crystalline Sb6OsPt at its relaxed geometry from the Alexandria database. Energies are from PBE.

The structure belongs to space group C2/m (No. 12); the cell edges are 13.329, 9.434 and 9.431 Å and the angles 90.00°, 134.91° and 90.00°. The asymmetric unit holds Sb at (0.004, 0.154, 0.164), Sb at (0.152, 0.500, 0.999), Sb at (0.154, 0.341, 0.650), Sb at (0.169, 0.500, 0.324), Os at (0.250, 0.250, 0.500) and Pt at (0.250, 0.250, 0.000).

The value obtained for the total energy is -175.542 eV per cell. The calculation puts the energy relative to the elements, uncorrected at -0.24 eV/atom. The calculation puts the size of the total moment at 0.00 μB/f.u.

---

Entry 4:
Here is crystalline TcSb2OsPt at its relaxed geometry from the Alexandria database. Energies are from PBE.

The structure belongs to space group P4/mmm (No. 123); the cell edges are 5.060, 5.060 and 4.901 Å and the angles 90.00°, 90.00° and 90.00°. The asymmetric unit holds Tc at (0.000, 0.000, 0.000), Sb at (0.000, 0.500, 0.500), Os at (0.500, 0.500, 0.500) and Pt at (0.500, 0.500, 0.000).

The value obtained for the total energy is -29.014 eV per cell. The calculation puts the energy relative to the elements, uncorrected at 1.37 eV/atom. The calculation puts the size of the total moment at 3.60 μB/f.u.

---

Entry 5:
Here is crystalline TcSb2OsPt at its relaxed geometry from the Alexandria database. Energies are from PBE.

The structure belongs to space group P4/mmm (No. 123); the cell edges are 5.034, 5.034 and 4.770 Å and the angles 90.00°, 90.00° and 90.00°. The asymmetric unit holds Tc at (0.000, 0.000, 0.000), Sb at (0.000, 0.500, 0.000), Os at (0.500, 0.500, 0.500) and Pt at (0.000, 0.000, 0.500).

The value obtained for the total energy is -28.144 eV per cell. The calculation puts the energy relative to the elements, uncorrected at 1.55 eV/atom. The calculation puts the size of the total moment at 2.21 μB/f.u.

---

Entry 6:
Here is crystalline Tc2SbOsPt at its relaxed geometry from the Alexandria database. Energies are from PBE.

The structure belongs to space group P4/mmm (No. 123); the cell edges are 4.678, 4.678 and 4.947 Å and the angles 90.00°, 90.00° and 90.00°. The asymmetric unit holds Tc at (0.000, 0.500, 0.000), Sb at (0.000, 0.000, 0.500), Os at (0.000, 0.000, 0.000) and Pt at (0.500, 0.500, 0.500).

The value obtained for the total energy is -34.172 eV per cell. The calculation puts the energy relative to the elements, uncorrected at 1.59 eV/atom. The calculation puts the size of the total moment at 0.00 μB/f.u.

---

Entry 7:
Here is crystalline ZnSbOs2Pt at its relaxed geometry from the Alexandria database. Energies are from PBE.

The structure belongs to space group P4/mmm (No. 123); the cell edges are 4.801, 4.801 and 4.748 Å and the angles 90.00°, 90.00° and 90.00°. The asymmetric unit holds Zn at (0.000, 0.000, 0.000), Sb at (0.000, 0.000, 0.500), Os at (0.000, 0.500, 0.500) and Pt at (0.500, 0.500, 0.000).

The value obtained for the total energy is -23.382 eV per cell. The calculation puts the energy relative to the elements, uncorrected at 2.10 eV/atom. The calculation puts the size of the total moment at 0.00 μB/f.u.

---

Entry 8:
Here is crystalline ScOs2Pt at its relaxed geometry from the Alexandria database. Energies are from PBE.

The structure belongs to space group Fm-3m (No. 225); the cell edges are 6.331, 6.331 and 6.331 Å and the angles 90.00°, 90.00° and 90.00°. The asymmetric unit holds Sc at (0.000, 0.000, 0.000), Os at (0.250, 0.250, 0.250) and Pt at (0.000, 0.000, 0.500).

The value obtained for the total energy is -136.314 eV per cell. As for the energy of formation: 188 meV per atom. The calculation puts the size of the total moment at 0.00 μB/f.u.

---

Table of theoretical density (g cm⁻³), in record order: 10.1, 10.4, 8.8, 9.6, 10.0, 10.8, 11.6, 16.2